[1]
# PBE-GGA AsIrIN2, relaxed
# Formation energy from raw total energies: 1.08 eV/atom
data_AsIrIN2
_chemical_formula_sum 'As1 Ir1 I1 N2'
_space_group_name_H-M_alt 'P 4/m m m'
_space_group_IT_number 123
_space_group_name_Hall '-P 4 2'
_cell_length_a 3.821
_cell_length_b 3.821
_cell_length_c 8.447
_cell_angle_alpha 90.00
_cell_angle_beta 90.00
_cell_angle_gamma 90.00
loop_
_atom_site_label
_atom_site_type_symbol
_atom_site_fract_x
_atom_site_fract_y
_atom_site_fract_z
As1 As 0.000 0.000 0.000
Ir1 Ir 0.500 0.500 0.500
I1 I 0.500 0.500 0.000
N1 N 0.000 0.500 0.500

[2]
# PBE-GGA Tc2RuCl, relaxed
# Formation energy from raw total energies: 1.01 eV/atom
data_Tc2RuCl
_chemical_formula_sum 'Tc8 Ru4 Cl4'
_space_group_name_H-M_alt 'I -4 2 d'
_space_group_IT_number 122
_space_group_name_Hall 'I -4 2bw'
_cell_length_a 5.542
_cell_length_b 5.542
_cell_length_c 10.347
_cell_angle_alpha 90.00
_cell_angle_beta 90.00
_cell_angle_gamma 90.00
loop_
_atom_site_label
_atom_site_type_symbol
_atom_site_fract_x
_atom_site_fract_y
_atom_site_fract_z
Tc1 Tc 0.243 0.250 0.125
Ru1 Ru 0.000 0.000 0.500
Cl1 Cl 0.000 0.000 0.000

[3]
# PBE-GGA PmCu2Ni5, relaxed
# DFT formation energy: 0.007 eV per atom
data_PmCu2Ni5
_chemical_formula_sum 'Pm2 Cu4 Ni10'
_space_group_name_H-M_alt 'I m m m'
_space_group_IT_number 71
_space_group_name_Hall '-I 2 2'
_cell_length_a 3.666
_cell_length_b 6.635
_cell_length_c 9.255
_cell_angle_alpha 90.00
_cell_angle_beta 90.00
_cell_angle_gamma 90.00
loop_
_atom_site_label
_atom_site_type_symbol
_atom_site_fract_x
_atom_site_fract_y
_atom_site_fract_z
Pm1 Pm 0.000 0.000 0.000
Cu1 Cu 0.000 0.500 0.252
Ni1 Ni 0.000 0.182 0.365
Ni2 Ni 0.000 0.500 0.000

[4]
# PBE-GGA PmNdLu, relaxed
# DFT formation energy: 0.031 eV per atom
data_PmNdLu
_chemical_formula_sum 'Pm2 Nd2 Lu2'
_space_group_name_H-M_alt 'I 4 m m'
_space_group_IT_number 107
_space_group_name_Hall 'I 4 -2'
_cell_length_a 3.607
_cell_length_b 3.607
_cell_length_c 15.213
_cell_angle_alpha 90.00
_cell_angle_beta 90.00
_cell_angle_gamma 90.00
loop_
_atom_site_label
_atom_site_type_symbol
_atom_site_fract_x
_atom_site_fract_y
_atom_site_fract_z
Pm1 Pm 0.000 0.000 0.000
Nd1 Nd 0.000 0.000 0.328
Lu1 Lu 0.000 0.000 0.664

For reference, magnetization by record: 0.34 0.00 2.47 0.00 μB/cell.